# 1
Density functional theory data (PBE-GGA) for an optimized crystal structure of CdTc2Ir.

magnetization	0.00	Bohr magnetons per cell
energy	-29.21	eV per cell
density	13.03	g/cm3
formation energy from the elements	0.324	eV/atom
calculated volume	64	Å³ per cell
symmetry	Cmm2 (35)

Geometry as POSCAR:
```
CdTc2Ir
1.0
1.443 -2.347 0.000
1.443 2.347 0.000
0.000 0.000 9.422
Cd Tc Ir
1 2 1
direct
0.000 0.000 0.000 Cd
0.000 0.000 0.503 Tc
0.500 0.500 0.730 Tc
0.500 0.500 0.262 Ir
```



# 2
Density functional theory data (PBE-GGA) for an optimized crystal structure of Mn2RhI.

offset from the most stable computed form	229	meV per atom
magnetization	0.00	Bohr magnetons per cell
ΔE_f (raw)	1.113	eV/atom
energy	-45.57	eV per cell
density	6.75	g/cm3
calculated volume	167	Å³ per cell
symmetry	I-42d (122)

Geometry as POSCAR:
```
Mn2RhI
1.0
-2.791 2.791 5.360
2.791 -2.791 5.360
2.791 2.791 -5.360
Mn Rh I
4 2 2
direct
0.089 0.625 0.964 Mn
0.375 0.339 0.464 Mn
0.661 0.125 0.036 Mn
0.875 0.911 0.536 Mn
0.000 0.000 0.000 Rh
0.750 0.250 0.500 Rh
0.250 0.750 0.500 I
0.500 0.500 0.000 I
```



# 3
Density functional theory data (PBE-GGA) for an optimized crystal structure of RhC7.

magnetization	0.00	Bohr magnetons per cell
energy	-41.63	eV per cell
density	4.69	g/cm3
formation energy from the elements	3.786	eV/atom
calculated volume	66	Å³ per cell
symmetry	Fm-3m (225)

Geometry as POSCAR:
```
RhC7
1.0
0.000 3.210 3.210
3.210 0.000 3.210
3.210 3.210 0.000
Rh C
1 7
direct
0.000 0.000 0.000 Rh
0.000 0.000 0.500 C
0.000 0.500 0.000 C
0.000 0.500 0.500 C
0.500 0.000 0.000 C
0.500 0.000 0.500 C
0.500 0.500 0.000 C
0.500 0.500 0.500 C
```



# 4
Density functional theory data (PBE-GGA) for an optimized crystal structure of Ac2MgSn3Au4.

magnetization	0.00	Bohr magnetons per cell
energy	-41.66	eV per cell
density	10.63	g/cm3
formation energy from the elements	-0.673	eV/atom
calculated volume	253	Å³ per cell
symmetry	P-4m2 (115)

Geometry as POSCAR:
```
Ac2MgSn3Au4
1.0
4.700 0.000 0.000
0.000 4.700 0.000
0.000 0.000 11.467
Ac Mg Sn Au
2 1 3 4
direct
0.000 0.500 0.236 Ac
0.500 0.000 0.764 Ac
0.000 0.000 0.500 Mg
0.000 0.500 0.867 Sn
0.500 0.000 0.133 Sn
0.500 0.500 0.500 Sn
0.000 0.000 0.000 Au
0.000 0.500 0.631 Au
0.500 0.000 0.369 Au
0.500 0.500 0.000 Au
```



# 5
Density functional theory data (PBE-GGA) for an optimized crystal structure of KP2W.

offset from the most stable computed form	490	meV per atom
magnetization	0.00	Bohr magnetons per cell
energy	-23.72	eV per cell
density	5.54	g/cm3
formation energy from the elements	0.286	eV/atom
calculated volume	85	Å³ per cell
symmetry	P4mm (99)

Geometry as POSCAR:
```
KP2W
1.0
3.327 0.000 0.000
0.000 3.327 0.000
0.000 0.000 7.707
K P W
1 2 1
direct
0.000 0.000 0.000 K
0.000 0.000 0.530 P
0.500 0.500 0.295 P
0.500 0.500 0.602 W
```



# 6
Density functional theory data (PBE-GGA) for an optimized crystal structure of LiZnSb2.

magnetization	0.00	Bohr magnetons per cell
ΔE_f (raw)	-0.056	eV/atom
energy	-11.66	eV per cell
density	5.98	g/cm3
calculated volume	88	Å³ per cell
symmetry	P4/mmm (123)

Geometry as POSCAR:
```
LiZnSb2
1.0
3.248 0.000 0.000
0.000 3.248 0.000
0.000 0.000 8.309
Li Zn Sb
1 1 2
direct
0.000 0.000 0.000 Li
0.000 0.000 0.500 Zn
0.500 0.500 0.247 Sb
0.500 0.500 0.753 Sb
```



# 7
Density functional theory data (PBE-GGA) for an optimized crystal structure of Mg2NiMo.

offset from the most stable computed form	575	meV per atom
magnetization	0.00	Bohr magnetons per cell
energy	-34.50	eV per cell
density	5.03	g/cm3
formation energy from the elements	0.638	eV/atom
calculated volume	134	Å³ per cell
symmetry	I-42d (122)

Geometry as POSCAR:
```
Mg2NiMo
1.0
-3.593 3.593 2.598
3.593 -3.593 2.598
3.593 3.593 -2.598
Mg Ni Mo
4 2 2
direct
0.088 0.625 0.963 Mg
0.375 0.338 0.463 Mg
0.662 0.125 0.037 Mg
0.875 0.912 0.537 Mg
0.000 0.000 0.000 Ni
0.750 0.250 0.500 Ni
0.250 0.750 0.500 Mo
0.500 0.500 0.000 Mo
```



# 8
Density functional theory data (PBE-GGA) for an optimized crystal structure of Mg3AgRh2.

offset from the most stable computed form	0	meV per atom
magnetization	0.00	Bohr magnetons per cell
energy	-25.02	eV per cell
density	6.69	g/cm3
formation energy from the elements	-0.448	eV/atom
calculated volume	96	Å³ per cell
symmetry	Cmmm (65)

Geometry as POSCAR:
```
Mg3AgRh2
1.0
2.223 -6.670 0.000
2.223 6.670 0.000
0.000 0.000 3.237
Mg Ag Rh
3 1 2
direct
0.000 0.000 0.000 Mg
0.324 0.676 0.000 Mg
0.676 0.324 0.000 Mg
0.500 0.500 0.500 Ag
0.161 0.839 0.500 Rh
0.839 0.161 0.500 Rh
```



# 9
Density functional theory data (PBE-GGA) for an optimized crystal structure of Sr2Cu2Hg.

offset from the most stable computed form	0	meV per atom
magnetization	0.00	Bohr magnetons per cell
energy	-25.51	eV per cell
density	6.30	g/cm3
formation energy from the elements	-0.180	eV/atom
calculated volume	265	Å³ per cell
symmetry	P4/mbm (127)

Geometry as POSCAR:
```
Sr2Cu2Hg
1.0
7.964 0.000 0.000
0.000 7.964 0.000
0.000 0.000 4.181
Sr Cu Hg
4 4 2
direct
0.184 0.316 0.000 Sr
0.316 0.816 0.000 Sr
0.684 0.184 0.000 Sr
0.816 0.684 0.000 Sr
0.109 0.609 0.500 Cu
0.391 0.109 0.500 Cu
0.609 0.891 0.500 Cu
0.891 0.391 0.500 Cu
0.000 0.000 0.500 Hg
0.500 0.500 0.500 Hg
```



# 10
Density functional theory data (PBE-GGA) for an optimized crystal structure of BaInNiRu2.

magnetization	1.78	Bohr magnetons per cell
energy	-16.56	eV per cell
density	5.58	g/cm3
formation energy from the elements	2.487	eV/atom
calculated volume	153	Å³ per cell
symmetry	P4/mmm (123)

Geometry as POSCAR:
```
BaInNiRu2
1.0
5.024 0.000 0.000
0.000 5.024 0.000
0.000 0.000 6.052
Ba In Ni Ru
1 1 1 2
direct
0.000 0.000 0.000 Ba
0.000 0.000 0.500 In
0.500 0.500 0.500 Ni
0.000 0.500 0.000 Ru
0.500 0.000 0.000 Ru
```



# 11
Density functional theory data (PBE-GGA) for an optimized crystal structure of RbP15.

magnetization	0.00	Bohr magnetons per cell
energy	-167.59	eV per cell
density	2.16	g/cm3
formation energy from the elements	-0.105	eV/atom
calculated volume	847	Å³ per cell
symmetry	P-1 (2)

Geometry as POSCAR:
```
RbP15
1.0
7.635 0.000 0.000
3.627 8.889 0.000
2.509 -0.766 12.485
Rb P
2 30
direct
0.225 0.279 0.498 Rb
0.775 0.721 0.502 Rb
0.010 0.162 0.099 P
0.014 0.066 0.685 P
0.038 0.607 0.837 P
0.121 0.740 0.195 P
0.127 0.604 0.666 P
0.200 0.905 0.780 P
0.239 0.999 0.313 P
0.292 0.625 0.315 P
0.295 0.035 0.137 P
0.310 0.516 0.901 P
0.336 0.810 0.073 P
0.338 0.704 0.663 P
0.397 0.274 0.862 P
0.473 0.763 0.313 P
0.481 0.415 0.219 P
0.519 0.585 0.781 P
0.527 0.237 0.687 P
0.603 0.726 0.138 P
0.662 0.296 0.337 P
0.664 0.190 0.927 P
0.690 0.484 0.099 P
0.705 0.965 0.863 P
0.708 0.375 0.685 P
0.761 0.001 0.687 P
0.800 0.095 0.220 P
0.873 0.396 0.334 P
0.879 0.260 0.805 P
0.962 0.393 0.163 P
0.986 0.934 0.315 P
0.990 0.838 0.901 P
```



# 12
Density functional theory data (PBE-GGA) for an optimized crystal structure of LiTbEu.

offset from the most stable computed form	22	meV per atom
magnetization	7.61	Bohr magnetons per cell
energy	-16.37	eV per cell
density	5.51	g/cm3
formation energy from the elements	0.151	eV/atom
calculated volume	96	Å³ per cell
symmetry	P3m1 (156)

Geometry as POSCAR:
```
LiTbEu
1.0
3.587 0.000 0.000
-1.793 3.106 0.000
0.000 0.000 8.604
Li Tb Eu
1 1 1
direct
0.000 0.000 0.000 Li
0.333 0.667 0.689 Tb
0.667 0.333 0.336 Eu
```